1.
DFT (GGA-PBE) results for crystalline YTi2As2 at its relaxed geometry.

The formation energy is -0.93 eV/atom. The energy above the most stable polymorph in this dataset is 0 meV/atom. For the total energy, the calculation gives -72.4 eV per cell.

The structure belongs to space group I4/mmm (No. 139); the cell edges are 3.9455, 3.9455 and 12.3581 Å and the angles 90.00°, 90.00° and 90.00°. The asymmetric unit holds Y at (0.0000, 0.0000, 0.0000), Ti at (0.0000, 0.5000, 0.2500) and As at (0.0000, 0.0000, 0.3859).

=====

2.
DFT (GGA-PBE) results for crystalline CaPaPb2 at its relaxed geometry.

The formation energy is -0.15 eV/atom. The energy above the most stable polymorph in this dataset is 22 meV/atom. For the total energy, the calculation gives -19.5 eV per cell.

The structure belongs to space group P4/mmm (No. 123); the cell edges are 5.7995, 5.7995 and 3.3846 Å and the angles 90.00°, 90.00° and 90.00°. The asymmetric unit holds Ca at (0.0000, 0.0000, 0.0000), Pa at (0.5000, 0.5000, 0.0000) and Pb at (0.0000, 0.5000, 0.5000).

=====

3.
DFT (GGA-PBE) results for crystalline Ta3Co5 at its relaxed geometry.

The formation energy is -0.20 eV/atom. The energy above the most stable polymorph in this dataset is 0 meV/atom. For the total energy, the calculation gives -290.8 eV per cell.

The structure belongs to space group Cmcm (No. 63); the cell edges are 8.2204, 6.0988 and 8.4143 Å and the angles 90.00°, 90.00° and 90.00°. The asymmetric unit holds Ta at (0.0000, 0.1010, 0.2500), Ta at (0.2115, 0.5000, 0.0000), Co at (0.0000, 0.2007, 0.5435), Co at (0.0000, 0.4983, 0.7500) and Co at (0.2209, 0.2304, 0.7500).

=====

4.
DFT (GGA-PBE) results for crystalline TaTe4Pt at its relaxed geometry.

The energy above the most stable polymorph in this dataset is 1360 meV/atom. As for the uncorrected formation energy: 7.67 eV per formula unit. For the total energy, the calculation gives -91.1 eV per cell.

The structure belongs to space group F-43m (No. 216); the cell edges are 8.5303, 8.5303 and 8.5303 Å and the angles 90.00°, 90.00° and 90.00°. The asymmetric unit holds Ta at (0.0000, 0.0000, 0.0000), Te at (0.1245, 0.1245, 0.6245) and Pt at (0.2500, 0.2500, 0.2500).

=====

5.
DFT (GGA-PBE) results for crystalline InW2Br at its relaxed geometry.

The energy above the most stable polymorph in this dataset is 224 meV/atom. As for the uncorrected formation energy: 2.22 eV per formula unit. For the total energy, the calculation gives -56.2 eV per cell.

The structure belongs to space group Cmm2 (No. 35); the cell edges are 3.2651, 5.1074 and 10.0829 Å and the angles 90.00°, 90.00° and 90.00°. The asymmetric unit holds In at (0.0000, 0.0000, 0.0000), W at (0.0000, 0.0000, 0.4480), W at (0.0000, 0.5000, 0.2557) and Br at (0.0000, 0.5000, 0.6699).

=====

6.
DFT (GGA-PBE) results for crystalline PmInIr2 at its relaxed geometry.

The formation energy is -0.38 eV/atom. For the total energy, the calculation gives -26.7 eV per cell.

The structure belongs to space group P4/mmm (No. 123); the cell edges are 4.5228, 4.5228 and 3.7618 Å and the angles 90.00°, 90.00° and 90.00°. The asymmetric unit holds Pm at (0.0000, 0.0000, 0.0000), In at (0.5000, 0.5000, 0.0000) and Ir at (0.0000, 0.5000, 0.5000).

=====

Copy entry 4 word for word.
DFT (GGA-PBE) results for crystalline TaTe4Pt at its relaxed geometry.

The energy above the most stable polymorph in this dataset is 1360 meV/atom. As for the uncorrected formation energy: 7.67 eV per formula unit. For the total energy, the calculation gives -91.1 eV per cell.

The structure belongs to space group F-43m (No. 216); the cell edges are 8.5303, 8.5303 and 8.5303 Å and the angles 90.00°, 90.00° and 90.00°. The asymmetric unit holds Ta at (0.0000, 0.0000, 0.0000), Te at (0.1245, 0.1245, 0.6245) and Pt at (0.2500, 0.2500, 0.2500).